# 1
A relaxed Na3PaBi2Te6 crystal, computed with GGA-PBE.

Cell: 7.9047 7.9047 7.9414 Å, 99.54 99.54 120.03°
Positions (direct):
Na 0.0000 0.0000 0.0000
Na 0.3268 0.6732 0.0000
Na 0.6732 0.3268 0.0000
Pa 0.5000 0.5000 0.5000
Bi 0.1653 0.8347 0.5000
Bi 0.8347 0.1653 0.5000
Te 0.0939 0.4218 0.2643
Te 0.2519 0.2519 0.7380
Te 0.4218 0.0939 0.2643
Te 0.5782 0.9061 0.7357
Te 0.7481 0.7481 0.2620
Te 0.9061 0.5782 0.7357

Calculated values
* E_tot: -3.9587 eV per atom
* raw formation energy: -0.62 eV per atom
* N(E_F): 8.10 states/eV per cell

# 2
A relaxed NaPaTlBi crystal, computed with GGA-PBE.

Cell: 7.6432 7.6432 7.6432 Å, 90.00 90.00 90.00°
Positions (direct):
Na 0.0000 0.0000 0.0000
Na 0.0000 0.5000 0.5000
Na 0.5000 0.0000 0.5000
Na 0.5000 0.5000 0.0000
Pa 0.0000 0.0000 0.5000
Pa 0.0000 0.5000 0.0000
Pa 0.5000 0.0000 0.0000
Pa 0.5000 0.5000 0.5000
Tl 0.2500 0.2500 0.7500
Tl 0.2500 0.7500 0.2500
Tl 0.7500 0.2500 0.2500
Tl 0.7500 0.7500 0.7500
Bi 0.2500 0.2500 0.2500
Bi 0.2500 0.7500 0.7500
Bi 0.7500 0.2500 0.7500
Bi 0.7500 0.7500 0.2500

Calculated values
* E_tot: -4.1722 eV per atom
* N(E_F): 18.65 states/eV per cell

# 3
A relaxed NaTm2PaBi4 crystal, computed with GGA-PBE.

Cell: 7.6700 4.4840 7.7783 Å, 90.00 108.52 90.00°
Positions (direct):
Na 0.0000 0.0000 0.0000
Tm 0.0000 0.5000 0.5000
Tm 0.5000 0.0000 0.5000
Pa 0.5000 0.5000 0.0000
Bi 0.2507 0.0000 0.7495
Bi 0.2603 0.5000 0.2546
Bi 0.7397 0.5000 0.7454
Bi 0.7493 0.0000 0.2505

Calculated values
* E_tot: -4.8529 eV per atom
* N(E_F): 3.65 states/eV per cell

# 4
A relaxed Na2TmPaBi4 crystal, computed with GGA-PBE.

Cell: 7.3285 5.1027 7.7383 Å, 90.00 116.57 90.00°
Positions (direct):
Na 0.0000 0.0000 0.0000
Na 0.5000 0.5000 0.0000
Tm 0.0000 0.0000 0.5000
Pa 0.5000 0.5000 0.5000
Bi 0.0128 0.5000 0.2706
Bi 0.4874 0.0000 0.7354
Bi 0.5126 0.0000 0.2646
Bi 0.9872 0.5000 0.7294

Calculated values
* E_tot: -4.2690 eV per atom
* N(E_F): 4.57 states/eV per cell

Volume in Å³/cell, matching the order above: 405 447 254 259
Magnetic moment in μB per atom, matching the order above: 0.161 0.323 0.021 0.000